Entry from Alexandria: a relaxed structure of BaGe2C2 (GGA-PBE).

For the energy above the most stable polymorph in this dataset, the calculation gives 139 meV/atom. The density of states at the Fermi level comes out at 3.470 states/eV per cell. The calculation puts the total energy at -0.3746 Ry per atom. For the energy relative to the elements, the calculation gives 0.8243 eV/atom.

The structure belongs to space group I4/mmm (No. 139); the cell edges are 4.041, 4.041 and 11.047 Å and the angles 90.00°, 90.00° and 90.00°. The distinct sites, in fractional coordinates, are Ba at (0.000, 0.000, 0.000), Ge at (0.000, 0.500, 0.250) and C at (0.000, 0.000, 0.322).